Entry 1:
Material: SrLa3Ru
Method: DFT, PBE
State: relaxed

Cell lengths 10.271, 10.271, 7.076 Å; angles 95.88, 95.88, 97.37 degrees
Sites, in units of the cell vectors:
Sr: 0.061 0.197 0.120
Sr: 0.197 0.061 0.620
Sr: 0.803 0.939 0.380
Sr: 0.939 0.803 0.880
La: 0.095 0.678 0.410
La: 0.186 0.542 0.927
La: 0.322 0.905 0.090
La: 0.332 0.453 0.505
La: 0.453 0.332 0.005
La: 0.458 0.814 0.573
La: 0.542 0.186 0.427
La: 0.547 0.668 0.995
La: 0.668 0.547 0.495
La: 0.678 0.095 0.910
La: 0.814 0.458 0.073
La: 0.905 0.322 0.590
Ru: 0.226 0.774 0.750
Ru: 0.367 0.633 0.250
Ru: 0.633 0.367 0.750
Ru: 0.774 0.226 0.250

Summary:
calculated formation energy	-0.12	eV per atom
SG	C2/c



Entry 2:
Material: AcTcGe3Pd
Method: DFT, PBE
State: relaxed

Cell lengths 7.007, 7.007, 6.087 Å; angles 90.00, 90.00, 114.59 degrees
Sites, in units of the cell vectors:
Ac: 0.248 0.752 0.750
Ac: 0.752 0.248 0.250
Tc: 0.452 0.548 0.250
Tc: 0.548 0.452 0.750
Ge: 0.252 0.252 0.000
Ge: 0.252 0.252 0.500
Ge: 0.253 0.747 0.250
Ge: 0.747 0.253 0.750
Ge: 0.748 0.748 0.000
Ge: 0.748 0.748 0.500
Pd: 0.052 0.948 0.250
Pd: 0.948 0.052 0.750

Summary:
calculated formation energy	-0.29	eV per atom
SG	Cmcm



> Which value of calculated formation energy does entry 2 give?

-0.29 eV per atom